# 1
# SrMnTc2

An optimized crystal structure of SrMnTc2 (GGA-PBE, Alexandria via LeMat-Bulk).

Computed properties:
The crystal system is trigonal. Its energy of formation from the pure elements is 0.425 eV/atom. The value obtained for the density of states at the Fermi level is 0.8737 states/eV/atom. The total moment is 3.31 μB per formula unit.

Cell lengths 4.2843, 4.2843, 17.3190 Å; angles 90.00, 90.00, 120.00 degrees
Space group R3m (No. 160, hexagonal axes)
Asymmetric unit:
Sr1 0.0000 0.0000 0.0000 x3
Mn1 0.0000 0.0000 0.8009 x3
Tc1 0.0000 0.0000 0.1958 x3
Tc2 0.0000 0.0000 0.5146 x3

# 2
# Hg2B2As

An optimized crystal structure of Hg2B2As (GGA-PBE, Alexandria via LeMat-Bulk).

Computed properties:
The crystal system is tetragonal. Its energy of formation from the pure elements is 1.126 eV/atom. The value obtained for the density of states at the Fermi level is 0.2937 states/eV/atom. The total moment is 0.00 μB per formula unit.

Cell lengths 4.131, 4.131, 9.687 Å; angles 90.00, 90.00, 90.00 degrees
Space group I4/mmm (No. 139)
Asymmetric unit:
Hg1 0.000 0.500 0.250 x4
B1 0.000 0.000 0.084 x4
As1 0.000 0.000 0.500 x2